# LiCe2Se2O2

A relaxed LiCe2Se2O2 crystal (PBE, Alexandria via LeMat-Bulk).

Cell: 3.869 5.909 6.596 Å, 68.84 72.95 70.89°
Fractional positions:
O: 0.201 0.681 0.917
O: 0.799 0.319 0.083
Se: 0.565 0.204 0.665
Se: 0.435 0.796 0.335
Ce: 0.807 0.638 0.748
Ce: 0.193 0.362 0.252
Li: 0.000 0.000 0.000

Properties
raw formation energy	-2.474	eV per atom
total magnetization	0.149	μB/atom
crystal system	monoclinic
final energy	-48.0	eV for the cell shown

# Tl3BSe3

A relaxed Tl3BSe3 crystal (PBE, Alexandria via LeMat-Bulk).

Cell: 10.503 5.936 6.882 Å, 84.09 90.00 90.00°
Fractional positions:
Tl: 0.047 0.710 0.673
Tl: 0.547 0.290 0.327
Tl: 0.750 0.826 0.997
Tl: 0.953 0.290 0.327
Tl: 0.250 0.174 0.003
Tl: 0.453 0.710 0.673
B: 0.750 0.372 0.733
B: 0.250 0.628 0.267
Se: 0.586 0.233 0.818
Se: 0.414 0.767 0.182
Se: 0.750 0.655 0.555
Se: 0.914 0.233 0.818
Se: 0.086 0.767 0.182
Se: 0.250 0.345 0.445

Properties
raw formation energy	-0.320	eV per atom
total magnetization	0.000	μB/atom
crystal system	monoclinic
final energy	-52.9	eV for the cell shown

# Tl6Te2S

A relaxed Tl6Te2S crystal (PBE, Alexandria via LeMat-Bulk).

Cell: 7.603 7.560 10.688 Å, 90.08 90.00 90.00°
Fractional positions:
Tl: 0.719 0.190 0.042
Tl: 0.781 0.690 0.542
Tl: 0.483 0.425 0.734
Tl: 0.693 0.221 0.462
Tl: 0.517 0.575 0.266
Tl: 0.281 0.810 0.958
Tl: 0.807 0.721 0.962
Tl: 0.219 0.310 0.458
Tl: 0.983 0.075 0.766
Tl: 0.307 0.779 0.538
Tl: 0.193 0.279 0.038
Tl: 0.017 0.925 0.234
Te: 0.460 0.008 0.247
Te: 0.540 0.992 0.753
Te: 0.040 0.508 0.747
Te: 0.960 0.492 0.253
S: 0.500 0.500 0.000
S: 0.000 0.000 0.500

Properties
raw formation energy	-0.307	eV per atom
total magnetization	0.000	μB/atom
crystal system	monoclinic
final energy	-54.7	eV for the cell shown